(1)
## LiYGaAu (GGA-PBE)

Data for a relaxed LiYGaAu crystal.

```
LiYGaAu
1.0
0.000 3.336 3.336
3.336 0.000 3.336
3.336 3.336 0.000
Au Ga Li Y
1 1 1 1
Direct
0.750 0.750 0.750
0.500 0.500 0.500
0.250 0.250 0.250
0.000 0.000 0.000
```

Output
* excess energy over the best structure of this formula in the dataset: 0 meV per atom



(2)
## SrZr2Te4 (GGA-PBE)

Data for a relaxed SrZr2Te4 crystal.

```
SrZr2Te4
1.0
-2.522 5.390 -3.330
-3.844 -5.622 0.327
-4.867 3.909 10.014
Sr Te Zr
2 8 4
Direct
0.500 0.500 0.250
0.500 0.500 0.750
0.198 0.317 0.000
0.802 0.683 0.000
0.500 0.000 0.190
0.000 0.500 0.310
0.317 0.198 0.500
0.683 0.802 0.500
0.000 0.500 0.690
0.500 0.000 0.810
0.752 0.244 0.000
0.248 0.756 0.000
0.756 0.248 0.500
0.244 0.752 0.500
```

Output
* VASP energy: -37.4 eV/f.u.



Number 1: M_tot 0.0 μB/f.u.. Number 2: M_tot 0.0 μB/f.u..